Entry 1:
Below is a relaxed NaAcPb crystal, with properties calculated at the PBE-GGA level.

Results
Its calculated volume is 33.42 A^3/atom. As for the offset from the most stable computed form: 124 meV per atom. The total magnetic moment is 0.00 μB per atom. The value obtained for the uncorrected energy is -3.316 eV/atom. The calculation puts the energy relative to the elements at -0.81 eV/f.u.

Lattice parameters (Å, degrees): 5.474 5.474 3.864 90.00 90.00 120.00
Element x y z (fractional)
Na 0.000 0.000 0.000
Ac 0.333 0.667 0.500
Pb 0.667 0.333 0.998

Entry 2:
Below is a relaxed Na2AcPb crystal, with properties calculated at the PBE-GGA level.

Results
Its calculated volume is 37.15 A^3/atom. The total magnetic moment is 0.00 μB per atom. The value obtained for the uncorrected energy is -2.472 eV/atom. The calculation puts the energy relative to the elements at 0.57 eV/f.u.

Lattice parameters (Å, degrees): 3.666 3.666 38.295 90.00 90.00 120.00
Element x y z (fractional)
Na 0.000 0.000 0.096
Na 0.000 0.000 0.904
Na 0.333 0.667 0.571
Na 0.333 0.667 0.762
Na 0.667 0.333 0.238
Na 0.667 0.333 0.429
Ac 0.000 0.000 0.000
Ac 0.333 0.667 0.667
Ac 0.667 0.333 0.333
Pb 0.000 0.000 0.500
Pb 0.333 0.667 0.167
Pb 0.667 0.333 0.833

Entry 3:
Below is a relaxed NaAcPb crystal, with properties calculated at the PBE-GGA level.

Results
Its calculated volume is 36.03 A^3/atom. As for the offset from the most stable computed form: 136 meV per atom. The total magnetic moment is 0.00 μB per atom. The value obtained for the uncorrected energy is -3.304 eV/atom. The calculation puts the energy relative to the elements at -0.78 eV/f.u.

Lattice parameters (Å, degrees): 12.192 5.111 8.404 90.00 124.37 90.00
Element x y z (fractional)
Na 0.173 0.000 0.079
Na 0.327 0.500 0.921
Na 0.673 0.500 0.079
Na 0.827 0.000 0.921
Ac 0.059 0.500 0.331
Ac 0.441 0.000 0.669
Ac 0.559 0.000 0.331
Ac 0.941 0.500 0.669
Pb 0.159 0.000 0.670
Pb 0.341 0.500 0.330
Pb 0.659 0.500 0.670
Pb 0.841 0.000 0.330